1.
A plane-wave DFT calculation with PBE-GGA was carried out for crystalline Cs2GaSF6 at its relaxed geometry.

Cell lengths 6.825, 6.825, 6.825 Å; angles 128.21, 128.21, 76.28 degrees
Positions (direct):
Cs  0.250  0.750  0.500
Cs  0.750  0.250  0.500
Ga  0.000  0.000  0.000
S  0.500  0.500  0.000
F  0.175  0.175  0.000
F  0.234  0.234  0.468
F  0.234  0.766  0.000
F  0.766  0.234  0.000
F  0.766  0.766  0.532
F  0.825  0.825  0.000

space group	No. 139


2.
A plane-wave DFT calculation with PBE-GGA was carried out for crystalline Cs2ScGaF6 at its relaxed geometry.

Cell lengths 6.550, 6.550, 6.550 Å; angles 60.00, 60.00, 60.00 degrees
Positions (direct):
Cs  0.250  0.250  0.250
Cs  0.750  0.750  0.750
Sc  0.000  0.000  0.000
Ga  0.500  0.500  0.500
F  0.221  0.221  0.779
F  0.221  0.779  0.221
F  0.221  0.779  0.779
F  0.779  0.221  0.221
F  0.779  0.221  0.779
F  0.779  0.779  0.221

space group	No. 225


no.,calculated volume (Å³ per atom),formation energy (no corrections) (kJ/mol of atoms),total moment (Bohr magnetons per cell)
1,19.07,-204,1.00
2,19.87,-295,0.00